This record from OQMD via LeMat-Bulk describes crystalline Nd3Zn2Cu2Si4 at its relaxed geometry. The functional is PBE-GGA.

POSCAR file:
```
Nd3Zn2Cu2Si4
1.0
-2.075 2.076 12.126
2.075 -2.076 12.126
2.075 2.076 -12.126
Nd Si Zn Cu
3 4 2 2
direct
0.849 0.349 0.500 Nd
0.000 0.000 0.000 Nd
0.151 0.651 0.500 Nd
0.451 0.451 0.000 Si
0.303 0.803 0.500 Si
0.697 0.197 0.500 Si
0.549 0.549 0.000 Si
0.598 0.098 0.500 Zn
0.402 0.902 0.500 Zn
0.250 0.250 0.000 Cu
0.750 0.750 0.000 Cu
```

Results
Volume   18.992 Å³/atom
Total magnetization   0.00 μB per formula unit
Final energy   -4.79 eV per atom